Below is a relaxed structure of Tb5PrDy8, with properties calculated at the PBE level. Values from VASP.

Summary:
The calculation puts the formation energy at 3.40 eV per formula unit. The calculation puts the total energy at -4.38 eV/atom. Its space-group type is I-4, No. 82.

The structure in Quantum ESPRESSO input format:
```
&SYSTEM
  ibrav = 0, nat = 14, ntyp = 3
/
ATOMIC_SPECIES
Tb 158.93 Tb.upf
Dy 162.50 Dy.upf
Pr 140.91 Pr.upf
CELL_PARAMETERS angstrom
-2.1314 -2.8740 -7.6469
-0.0363 -6.1755 5.7567
-5.6914 5.9662 1.8139
ATOMIC_POSITIONS crystal
Tb 0.0388 0.3223 0.1369
Tb 0.8631 0.9019 0.1854
Dy 0.0745 0.7488 0.4688
Dy 0.5312 0.6058 0.2801
Dy 0.9205 0.0869 0.6605
Tb 0.8146 0.6777 0.7165
Dy 0.7199 0.2512 0.3257
Tb 0.2835 0.0981 0.9612
Dy 0.6743 0.3942 0.9255
Tb 0.5000 0.0000 0.5000
Dy 0.3395 0.2600 0.4264
Dy 0.5736 0.9131 0.8336
Pr 0.2500 0.5000 0.7500
Dy 0.1664 0.7400 0.0795
```

Below is a relaxed structure of TbPr8Dy2, with properties calculated at the PBE level. Values from VASP.

Summary:
The calculation puts the formation energy at 1.80 eV per formula unit. The calculation puts the energy relative to the lowest polymorph listed for this composition at 0.00 eV per formula unit. The calculation puts the total energy at -4.57 eV/atom. Its space-group type is C2/m, No. 12.

The structure in Quantum ESPRESSO input format:
```
&SYSTEM
  ibrav = 0, nat = 11, ntyp = 3
/
ATOMIC_SPECIES
Pr 140.91 Pr.upf
Dy 162.50 Dy.upf
Tb 158.93 Tb.upf
CELL_PARAMETERS angstrom
-6.5585 -1.4481 0.7539
-3.6860 -2.8448 9.3695
-5.2724 3.7439 8.2251
ATOMIC_POSITIONS crystal
Pr 0.7670 0.6524 0.1747
Pr 0.2330 0.3476 0.8253
Pr 0.1671 0.7552 0.7552
Pr 0.2738 0.4044 0.4044
Pr 0.8329 0.2448 0.2448
Pr 0.7670 0.1747 0.6524
Dy 0.4188 0.1955 0.1955
Dy 0.5812 0.8045 0.8045
Tb 0.0000 0.0000 0.0000
Pr 0.7262 0.5956 0.5956
Pr 0.2330 0.8253 0.3476
```

Below is a relaxed structure of Tb4PrDy6, with properties calculated at the PBE level. Values from VASP.

Summary:
The calculation puts the formation energy at 1.35 eV per formula unit. The calculation puts the energy relative to the lowest polymorph listed for this composition at 0.00 eV per formula unit. The calculation puts the total energy at -4.51 eV/atom. Its space-group type is Cmcm, No. 63.

The structure in Quantum ESPRESSO input format:
```
&SYSTEM
  ibrav = 0, nat = 22, ntyp = 3
/
ATOMIC_SPECIES
Pr 140.91 Pr.upf
Dy 162.50 Dy.upf
Tb 158.93 Tb.upf
CELL_PARAMETERS angstrom
5.7496 0.0000 0.0000
-2.8748 4.8065 0.0000
0.0000 0.0000 25.7142
ATOMIC_POSITIONS crystal
Pr 0.8067 0.6135 0.2500
Dy 0.5285 0.0571 0.7500
Tb 0.1546 0.3092 0.0424
Tb 0.8454 0.6908 0.5424
Dy 0.8056 0.6112 0.3980
Dy 0.8636 0.7271 0.8193
Pr 0.1933 0.3865 0.7500
Tb 0.1546 0.3092 0.4576
Dy 0.1364 0.2729 0.3193
Tb 0.4644 0.9288 0.3788
Dy 0.5000 0.0000 0.0000
Tb 0.5356 0.0712 0.8788
Dy 0.1944 0.3888 0.6020
Dy 0.1944 0.3888 0.8980
Dy 0.4715 0.9429 0.2500
Dy 0.1364 0.2729 0.1807
Dy 0.5000 0.0000 0.5000
Tb 0.4644 0.9288 0.1212
Dy 0.8636 0.7271 0.6807
Tb 0.8454 0.6908 0.9576
Dy 0.8056 0.6112 0.1020
Tb 0.5356 0.0712 0.6212
```

Below is a relaxed structure of Tb2Pr3Dy3, with properties calculated at the PBE level. Values from VASP.

Summary:
The calculation puts the formation energy at 0.16 eV per formula unit. The calculation puts the energy relative to the lowest polymorph listed for this composition at 0.00 eV per formula unit. The calculation puts the total energy at -4.66 eV/atom. Its space-group type is Immm, No. 71.

The structure in Quantum ESPRESSO input format:
```
&SYSTEM
  ibrav = 0, nat = 8, ntyp = 3
/
ATOMIC_SPECIES
Dy 162.50 Dy.upf
Tb 158.93 Tb.upf
Pr 140.91 Pr.upf
CELL_PARAMETERS angstrom
-2.4132 -4.1615 1.6773
2.5715 -2.8514 -3.3749
7.3123 2.0022 7.7515
ATOMIC_POSITIONS crystal
Dy 0.1266 0.1266 0.2533
Dy 0.0000 0.5000 0.0000
Tb 0.7494 0.2494 0.4988
Tb 0.2506 0.7506 0.5012
Pr 0.3747 0.3747 0.7494
Pr 0.6253 0.6253 0.2506
Dy 0.8734 0.8734 0.7467
Pr 0.5000 0.0000 0.0000
```

Below is a relaxed structure of TbPrDy, with properties calculated at the PBE level. Values from VASP.

Summary:
The calculation puts the formation energy at 0.12 eV per formula unit. The calculation puts the energy relative to the lowest polymorph listed for this composition at 0.06 eV per formula unit. The calculation puts the total energy at -4.63 eV/atom. Its space-group type is Cmcm, No. 63.

The structure in Quantum ESPRESSO input format:
```
&SYSTEM
  ibrav = 0, nat = 6, ntyp = 3
/
ATOMIC_SPECIES
Dy 162.50 Dy.upf
Tb 158.93 Tb.upf
Pr 140.91 Pr.upf
CELL_PARAMETERS angstrom
3.5618 -0.0003 -0.0467
0.0003 5.4781 -0.0097
-1.6440 0.0175 10.2432
ATOMIC_POSITIONS crystal
Dy 0.6142 0.7500 0.7289
Dy 0.3858 0.2500 0.2711
Tb 0.9597 0.7500 0.4190
Pr 0.7942 0.7500 0.0883
Pr 0.2058 0.2500 0.9117
Tb 0.0403 0.2500 0.5810
```

Below is a relaxed structure of TbPr6Dy2, with properties calculated at the PBE level. Values from VASP.

Summary:
The calculation puts the formation energy at 0.72 eV per formula unit. The calculation puts the energy relative to the lowest polymorph listed for this composition at 0.00 eV per formula unit. The calculation puts the total energy at -4.64 eV/atom. Its space-group type is C2/c, No. 15.

The structure in Quantum ESPRESSO input format:
```
&SYSTEM
  ibrav = 0, nat = 18, ntyp = 3
/
ATOMIC_SPECIES
Tb 158.93 Tb.upf
Dy 162.50 Dy.upf
Pr 140.91 Pr.upf
CELL_PARAMETERS angstrom
-3.0959 -5.2295 1.6665
-1.1354 -3.4716 -9.5567
7.7403 -6.3510 -2.1036
ATOMIC_POSITIONS crystal
Tb 0.2500 0.1009 0.8991
Dy 0.0838 0.2326 0.4343
Pr 0.6808 0.2585 0.9791
Pr 0.6528 0.0754 0.3551
Pr 0.0141 0.5914 0.3122
Pr 0.1528 0.3551 0.0754
Pr 0.3472 0.9246 0.6449
Dy 0.9162 0.7674 0.5657
Dy 0.5838 0.4343 0.2326
Dy 0.4162 0.5657 0.7674
Pr 0.4859 0.6878 0.4086
Tb 0.7500 0.8991 0.1009
Pr 0.8472 0.6449 0.9246
Pr 0.8192 0.0209 0.7415
Pr 0.9859 0.4086 0.6878
Pr 0.3192 0.7415 0.0209
Pr 0.5141 0.3122 0.5914
Pr 0.1808 0.9791 0.2585
```

Below is a relaxed structure of Tb12PrDy5, with properties calculated at the PBE level. Values from VASP.

Summary:
The calculation puts the formation energy at 2.13 eV per formula unit. The calculation puts the total energy at -4.51 eV/atom. Its space-group type is C2/m, No. 12.

The structure in Quantum ESPRESSO input format:
```
&SYSTEM
  ibrav = 0, nat = 18, ntyp = 3
/
ATOMIC_SPECIES
Tb 158.93 Tb.upf
Dy 162.50 Dy.upf
Pr 140.91 Pr.upf
CELL_PARAMETERS angstrom
11.1675 0.0000 0.0070
5.5838 8.7202 0.0035
-0.0015 0.0000 5.9660
ATOMIC_POSITIONS crystal
Tb 0.1598 0.3344 0.4522
Tb 0.8237 0.0000 0.4552
Tb 0.8402 0.6656 0.5478
Dy 0.6668 0.6663 0.0000
Tb 0.5058 0.3344 0.5478
Pr 0.0000 0.0000 0.0000
Tb 0.4942 0.6656 0.4522
Dy 0.8335 0.3331 0.5000
Tb 0.9933 0.6640 0.0482
Tb 0.3427 0.6640 0.9518
Tb 0.0067 0.3360 0.9518
Tb 0.1763 0.0000 0.5448
Dy 0.1665 0.6670 0.5000
Tb 0.6573 0.3360 0.0482
Tb 0.3283 0.0000 0.0452
Dy 0.3332 0.3337 0.0000
Tb 0.6717 0.0000 0.9548
Dy 0.5000 0.0000 0.5000
```

Below is a relaxed structure of Tb5Pr2Dy2, with properties calculated at the PBE level. Values from VASP.

Summary:
The calculation puts the formation energy at 2.01 eV per formula unit. The calculation puts the energy relative to the lowest polymorph listed for this composition at 0.14 eV per formula unit. The calculation puts the total energy at -4.43 eV/atom. Its space-group type is C2/m, No. 12.

The structure in Quantum ESPRESSO input format:
```
&SYSTEM
  ibrav = 0, nat = 9, ntyp = 3
/
ATOMIC_SPECIES
Dy 162.50 Dy.upf
Tb 158.93 Tb.upf
Pr 140.91 Pr.upf
CELL_PARAMETERS angstrom
3.4315 0.0000 -0.7078
-0.4866 7.9008 -2.3594
0.7399 -2.9749 12.2598
ATOMIC_POSITIONS crystal
Dy 0.4528 0.2622 0.9055
Dy 0.5472 0.7378 0.0945
Tb 0.3096 0.1513 0.6192
Pr 0.8193 0.7838 0.6386
Tb 0.0952 0.4558 0.1903
Pr 0.1807 0.2162 0.3614
Tb 0.9048 0.5442 0.8097
Tb 0.0000 0.0000 0.0000
Tb 0.6904 0.8487 0.3808
```

Below is a relaxed structure of Tb14PrDy, with properties calculated at the PBE level. Values from VASP.

Summary:
The calculation puts the formation energy at 0.03 eV per formula unit. The calculation puts the total energy at -4.64 eV/atom. Its space-group type is Amm2, No. 38.

The structure in Quantum ESPRESSO input format:
```
&SYSTEM
  ibrav = 0, nat = 16, ntyp = 3
/
ATOMIC_SPECIES
Tb 158.93 Tb.upf
Dy 162.50 Dy.upf
Pr 140.91 Pr.upf
CELL_PARAMETERS angstrom
-2.2033 -3.7746 -5.6777
2.8678 -3.3589 5.6420
-10.4772 -0.9996 4.7304
ATOMIC_POSITIONS crystal
Tb 0.8753 0.6255 0.7516
Tb 0.3745 0.1247 0.7516
Tb 0.3749 0.6251 0.7498
Tb 0.8753 0.6255 0.2484
Tb 0.3745 0.1247 0.2484
Tb 0.8753 0.1247 0.2481
Tb 0.5416 0.9578 0.0000
Tb 0.0422 0.4584 0.0000
Dy 0.2082 0.7918 0.5000
Tb 0.8753 0.1247 0.7519
Tb 0.3749 0.6251 0.2502
Tb 0.2080 0.2917 0.5000
Tb 0.0419 0.9581 0.0000
Tb 0.7083 0.7920 0.5000
Pr 0.7082 0.2918 0.5000
Tb 0.5416 0.4584 0.0000
```

Below is a relaxed structure of Tb5Pr3Dy4, with properties calculated at the PBE level. Values from VASP.

Summary:
The calculation puts the formation energy at 3.25 eV per formula unit. The calculation puts the energy relative to the lowest polymorph listed for this composition at 3.05 eV per formula unit. The calculation puts the total energy at -4.39 eV/atom. Its space-group type is C2/m, No. 12.

The structure in Quantum ESPRESSO input format:
```
&SYSTEM
  ibrav = 0, nat = 12, ntyp = 3
/
ATOMIC_SPECIES
Tb 158.93 Tb.upf
Dy 162.50 Dy.upf
Pr 140.91 Pr.upf
CELL_PARAMETERS angstrom
-2.8150 -3.0497 4.0175
-6.7057 -5.1713 -4.4718
6.5630 -5.2595 4.7586
ATOMIC_POSITIONS crystal
Tb 0.7233 0.9302 0.6232
Tb 0.5000 0.5000 0.5000
Tb 0.2767 0.0698 0.3768
Dy 0.8375 0.1330 0.1920
Pr 0.0000 0.5000 0.5000
Dy 0.9511 0.2509 0.8469
Pr 0.4741 0.3401 0.7118
Tb 0.6761 0.7177 0.9301
Dy 0.1625 0.8670 0.8080
Pr 0.5259 0.6599 0.2882
Tb 0.3239 0.2823 0.0699
Dy 0.0489 0.7491 0.1531
```

Below is a relaxed structure of TbPr4Dy, with properties calculated at the PBE level. Values from VASP.

Summary:
The calculation puts the formation energy at 0.12 eV per formula unit. The calculation puts the energy relative to the lowest polymorph listed for this composition at 0.00 eV per formula unit. The calculation puts the total energy at -4.70 eV/atom. Its space-group type is Cmmm, No. 65.

The structure in Quantum ESPRESSO input format:
```
&SYSTEM
  ibrav = 0, nat = 6, ntyp = 3
/
ATOMIC_SPECIES
Pr 140.91 Pr.upf
Dy 162.50 Dy.upf
Tb 158.93 Tb.upf
CELL_PARAMETERS angstrom
7.8549 1.9304 1.1878
5.0623 6.3086 1.1878
-0.6709 -0.4279 5.1294
ATOMIC_POSITIONS crystal
Pr 0.8354 0.8354 0.5000
Pr 0.6647 0.6647 0.9999
Dy 0.0000 0.0000 0.0000
Pr 0.3353 0.3353 0.0001
Pr 0.1646 0.1646 0.5000
Tb 0.5000 0.5000 0.5000
```